Record 1
Material: CsScZn3
Method: DFT, PBE
State: relaxed

```
5
Lattice="5.585 0.000 0.000 0.000 5.585 0.000 0.000 0.000 5.585" Properties=species:S:1:pos:R:3 pbc="T T T"
Cs 2.792 2.792 2.792
Sc 0.000 0.000 0.000
Zn 0.000 2.792 0.000
Zn 0.000 0.000 2.792
Zn 2.792 0.000 0.000
```

Results
Polymorph energy (0 for the lowest one) ... 0.0 meV/atom
Space-group type ... No. 221
Raw total energy ... -9.0 eV for the cell shown
Density ... 3.6 g/cm3


Record 2
Material: HoEr2Tm5In
Method: DFT, PBE
State: relaxed

```
18
Lattice="-4.892 -1.697 0.921 4.428 0.465 9.355 -3.184 9.735 1.023" Properties=species:S:1:pos:R:3 pbc="T T T"
Ho -2.907 3.875 6.712
Ho 0.799 -0.080 4.092
Er -3.457 6.601 8.807
Er -1.836 6.932 3.018
Er -0.480 2.786 2.585
Er -1.629 1.010 8.222
Tm 1.486 -0.212 7.501
Tm -4.184 6.871 5.449
Tm -0.433 6.998 10.591
Tm -1.108 6.658 6.377
Tm -2.120 3.724 10.611
Tm -3.595 4.009 3.304
Tm 0.156 2.794 5.972
Tm -3.268 1.666 0.725
Tm -2.264 1.000 4.833
Tm 0.011 0.073 0.193
In -2.092 -0.842 2.354
In -0.017 4.638 8.451
```

Results
Space-group type ... No. 63
Raw total energy ... -77.5 eV for the cell shown
Density ... 8.9 g/cm3


Record 3
Material: Y4AlSi2O10F5
Method: DFT, PBE
State: relaxed

```
22
Lattice="7.495 4.501 0.010 -7.495 4.501 0.010 0.000 1.209 4.154" Properties=species:S:1:pos:R:3 pbc="T T T"
Y 2.137 3.771 3.664
Y 1.967 6.256 0.746
Y -1.967 6.256 0.746
Y -2.137 3.771 3.664
Al 0.000 0.020 0.017
Si 5.159 5.034 2.166
Si -5.159 5.034 2.166
O 0.000 8.379 3.746
O -4.340 4.122 3.249
O 0.000 1.932 0.249
O 4.218 5.874 1.113
O 6.069 6.153 2.973
O -6.069 6.153 2.973
O -4.218 5.874 1.113
O -1.354 8.510 1.318
O 1.354 8.510 1.318
O 4.340 4.122 3.249
F -1.991 6.019 3.097
F 1.991 6.019 3.097
F 2.102 3.945 1.371
F -2.102 3.945 1.371
F 0.000 5.506 1.429
```

Results
Formation energy without anion corrections ... -3.22 eV/atom
Space-group type ... No. 8
Raw total energy ... -170.3 eV for the cell shown
Density ... 4.1 g/cm3


Record 4
Material: NbCr3
Method: DFT, PBE
State: relaxed

```
4
Lattice="-1.677 -3.323 -1.981 1.941 -3.740 0.143 -1.676 -3.160 2.232" Properties=species:S:1:pos:R:3 pbc="T T T"
Nb 0.000 0.000 0.000
Cr -1.059 -7.667 0.295
Cr -0.353 -2.556 0.098
Cr -0.706 -5.112 0.197
```

Results
Space-group type ... No. 225
Raw total energy ... -38.7 eV for the cell shown
Density ... 7.8 g/cm3


Record 5
Material: In2Hg3Bi4
Method: DFT, PBE
State: relaxed

```
9
Lattice="-0.178 3.614 2.385 1.003 -1.727 6.629 9.296 3.184 -0.194" Properties=species:S:1:pos:R:3 pbc="T T T"
In 2.139 1.730 1.475
In 7.982 3.340 7.345
Hg 5.859 1.782 5.612
Hg 0.000 0.000 0.000
Hg 4.262 3.289 3.209
Bi 1.625 2.064 4.868
Bi 6.629 1.856 1.619
Bi 3.492 3.214 7.201
Bi 8.496 3.007 3.953
```

Results
Space-group type ... No. 12
Raw total energy ... -21.4 eV for the cell shown
Density ... 10.1 g/cm3


Record 6
Material: LaBe2Tc
Method: DFT, PBE
State: relaxed

```
4
Lattice="-2.145 3.719 -0.419 -1.685 1.923 -3.475 -5.027 -1.240 -0.029" Properties=species:S:1:pos:R:3 pbc="T T T"
Be -4.297 -0.784 -0.187
Be -5.158 1.745 -1.803
Tc -6.642 3.301 -2.942
La -2.214 1.100 -0.981
```

Results
Polymorph energy (0 for the lowest one) ... 0.0 meV/atom
Space-group type ... No. 12
Raw total energy ... -22.8 eV for the cell shown
Density ... 6.1 g/cm3


Record 7
Material: ReMoPt2
Method: DFT, PBE
State: relaxed

```
4
Lattice="4.777 0.007 0.000 1.436 4.556 0.000 -3.106 -2.282 2.820" Properties=species:S:1:pos:R:3 pbc="T T T"
Mo 0.719 2.279 1.410
Pt 0.000 0.000 0.000
Pt 2.389 0.003 1.410
Re 3.106 2.281 0.000
```

Results
Polymorph energy (0 for the lowest one) ... 20.5 meV/atom
Space-group type ... No. 119
Raw total energy ... -35.9 eV for the cell shown
Density ... 18.2 g/cm3


Record 8
Material: Ca2HPd
Method: DFT, PBE
State: relaxed

```
4
Lattice="-3.456 -1.812 0.291 -0.964 -2.797 -2.561 1.195 -6.004 3.119" Properties=species:S:1:pos:R:3 pbc="T T T"
H -1.612 -5.306 0.424
Ca -2.473 -7.868 0.557
Ca -0.751 -2.745 0.292
Pd 0.000 0.000 0.000
```

Results
Polymorph energy (0 for the lowest one) ... 8.3 meV/atom
Space-group type ... No. 166
Raw total energy ... -14.1 eV for the cell shown
Density ... 3.6 g/cm3